(1)
# Li2PaSe3

An optimized crystal structure of Li2PaSe3 (PBE, the Alexandria database).

Cell lengths 4.0554, 11.9228, 5.6865 Å; angles 90.00, 90.00, 90.00 degrees
With the nearest neighbours (Å) after each atom.
Space group Pmmn (No. 59, origin choice 2)
Inequivalent atoms, fractional coordinates:
Li 0.2500 0.0872 0.2501  6 Se 2.81-2.86
Pa 0.2500 0.7500 0.2490  6 Se 2.84-2.85
Se 0.2500 0.0823 0.7504  4 Li 2.84-2.86, 2 Pa 2.85
Se 0.2500 0.7500 0.7491  4 Li 2.81, 2 Pa 2.84

=====

(2)
# Li2PaSe3

An optimized crystal structure of Li2PaSe3 (PBE, the Alexandria database).

Cell lengths 5.7385, 12.5907, 4.2067 Å; angles 90.00, 90.00, 90.00 degrees
With the nearest neighbours (Å) after each atom.
Space group Cmmm (No. 65)
Inequivalent atoms, fractional coordinates:
Li 0.0000 0.1372 0.0000  5 Se 2.65-2.88
Pa 0.0000 0.5000 0.5000  6 Se 2.84-2.87
Se 0.0000 0.0000 0.5000  4 Li 2.72, 2 Pa 2.87
Se 0.0000 0.3481 0.0000  3 Li 2.65-2.88, 2 Pa 2.84

=====

The energetic minimum among the shown structures is (1); the next structure lies 1.0 kJ/mol of atoms above.